Arrangement w

Ho4Tm7Th: optimized geometry, PBE.

Unit cell a=6.8918 b=8.3947 c=8.5620 alpha=88.59 beta=100.79 gamma=50.66
Sites, in units of the cell vectors:
Ho1 0.7937 0.8143 0.6658
Tm1 0.2699 0.4801 0.0235
Tm2 0.7144 0.1785 0.3647
Tm3 0.9428 0.3219 0.6738
Th1 0.0000 0.0000 0.0000
Tm4 0.5000 0.0000 0.0000
Ho2 0.2063 0.1857 0.3342
Ho3 0.5746 0.6562 0.3175
Tm5 0.0572 0.6781 0.3262
Tm6 0.7301 0.5199 0.9765
Ho4 0.4254 0.3438 0.6825
Tm7 0.2856 0.8215 0.6353

Total magnetization   0.0 μB/cell
SG   No. 2
Calculated density   9.3 Mg/m³
DOS(E_F)   1.59 states/eV per atom



Arrangement x

Ho4Tm7Th: optimized geometry, PBE.

Unit cell a=5.8443 b=11.3575 c=6.6784 alpha=83.65 beta=64.05 gamma=75.09
Sites, in units of the cell vectors:
Ho1 0.6365 0.2247 0.5023
Ho2 0.2452 0.3200 0.1895
Tm1 0.7858 0.9229 0.5054
Th1 0.0000 0.0000 0.0000
Tm2 0.2142 0.0771 0.4946
Tm3 0.9397 0.3240 0.7967
Tm4 0.3660 0.5011 0.7668
Tm5 0.6340 0.4989 0.2332
Ho3 0.3635 0.7753 0.4977
Ho4 0.7548 0.6800 0.8105
Tm6 0.5000 0.0000 0.0000
Tm7 0.0603 0.6760 0.2033

Total magnetization   0.0 μB/cell
SG   No. 12
Calculated density   8.9 Mg/m³
DOS(E_F)   1.58 states/eV per atom



Relative energies in meV/atom: arrangement w 0; arrangement x 241



Arrangement w

Ho2Tm4Th: optimized geometry, PBE.

Unit cell a=3.5568 b=3.5562 c=19.8416 alpha=95.15 beta=90.00 gamma=120.01
Sites, in units of the cell vectors:
Tm1 0.0005 0.0010 0.2370
Ho1 0.6197 0.2395 0.0955
Th1 0.8094 0.6188 0.6676
Ho2 0.7139 0.4278 0.3792
Tm2 0.4278 0.8557 0.5218
Tm3 0.5247 0.0493 0.8132
Tm4 0.9054 0.8108 0.9537

Total magnetization   0.0 μB/cell
SG   No. 8
Calculated density   9.5 Mg/m³
DOS(E_F)   1.69 states/eV per atom



Arrangement x

Ho2Tm4Th: optimized geometry, PBE.

Unit cell a=3.4072 b=8.5643 c=8.6122 alpha=116.86 beta=101.41 gamma=90.00
Sites, in units of the cell vectors:
Tm1 0.3679 0.6000 0.7358
Tm2 0.0794 0.6995 0.1588
Th1 0.0000 0.0000 0.0000
Ho1 0.7774 0.8497 0.5549
Tm3 0.6321 0.4000 0.2642
Tm4 0.9206 0.3005 0.8412
Ho2 0.2226 0.1503 0.4451

Total magnetization   0.0 μB/cell
SG   No. 12
Calculated density   9.4 Mg/m³
DOS(E_F)   1.85 states/eV per atom



Relative energies in meV/atom: arrangement w 0; arrangement x 125



Arrangement w

HoTm5Th: optimized geometry, PBE.

Unit cell a=6.0696 b=9.1787 c=8.5156 alpha=86.18 beta=78.37 gamma=70.69
Sites, in units of the cell vectors:
Tm1 0.2280 0.3130 0.9611
Tm2 0.7720 0.6870 0.0389
Tm3 0.1491 0.7018 0.2500
Tm4 0.0147 0.3741 0.3536
Th1 0.0000 0.0000 0.5000
Tm5 0.4591 0.3130 0.5389
Tm6 0.3888 0.6259 0.8536
Ho1 0.5134 0.9732 0.7500
Th2 0.0000 0.0000 0.0000
Tm7 0.9853 0.6259 0.6464
Tm8 0.8509 0.2982 0.7500
Ho2 0.4866 0.0268 0.2500
Tm9 0.5409 0.6870 0.4611
Tm10 0.6112 0.3741 0.1464

Total magnetization   0.0 μB/cell
SG   No. 15
Calculated density   9.4 Mg/m³
DOS(E_F)   1.68 states/eV per atom



Arrangement x

HoTm5Th: optimized geometry, PBE.

Unit cell a=10.4112 b=6.5065 c=6.9368 alpha=117.97 beta=138.63 gamma=90.00
Sites, in units of the cell vectors:
Th1 0.9684 0.5000 0.0000
Tm1 0.1553 0.2294 0.4588
Tm2 0.2289 0.2285 0.0000
Tm3 0.6965 0.7706 0.5412
Ho1 0.5768 0.0000 0.0000
Tm4 0.6759 0.5000 0.0000
Tm5 0.2289 0.7715 0.0000

Total magnetization   0.0 μB/cell
SG   No. 44
Calculated density   9.4 Mg/m³
DOS(E_F)   1.32 states/eV per atom



Relative energies in meV/atom: arrangement w 0; arrangement x 102



Arrangement w

Ho4Tm5Th: optimized geometry, PBE.

Unit cell a=5.3269 b=10.3836 c=6.3633 alpha=83.16 beta=114.74 gamma=90.00
Sites, in units of the cell vectors:
Th1 0.5000 0.0000 0.0000
Ho1 0.3446 0.7606 0.6892
Tm1 0.2303 0.3988 0.4605
Tm2 0.1801 0.0518 0.3603
Ho2 0.0584 0.7294 0.1167
Ho3 0.9416 0.2706 0.8833
Tm3 0.5000 0.5000 0.0000
Ho4 0.6554 0.2394 0.3108
Tm4 0.8199 0.9482 0.6397
Tm5 0.7697 0.6012 0.5395

Total magnetization   0.0 μB/cell
SG   No. 12
Calculated density   9.1 Mg/m³
DOS(E_F)   1.56 states/eV per atom



Arrangement x

Ho4Tm5Th: optimized geometry, PBE.

Unit cell a=6.3037 b=7.7977 c=7.7977 alpha=80.60 beta=66.16 gamma=66.16
Sites, in units of the cell vectors:
Tm1 0.8068 0.3769 0.9078
Tm2 0.6919 0.0000 0.0000
Ho1 0.3972 0.3995 0.7044
Th1 0.2247 0.0000 0.0000
Ho2 0.1017 0.2956 0.3995
Tm3 0.1837 0.9078 0.6231
Ho3 0.5012 0.6005 0.2956
Tm4 0.0915 0.6231 0.0922
Ho4 0.7968 0.7044 0.6005
Tm5 0.7147 0.0922 0.3769

Total magnetization   0.0 μB/cell
SG   No. 79
Calculated density   9.0 Mg/m³
DOS(E_F)   1.42 states/eV per atom



Relative energies in meV/atom: arrangement w 0; arrangement x 148



Arrangement w

Ho6TmTh: optimized geometry, PBE.

Unit cell a=5.0055 b=5.0055 c=9.9218 alpha=90.00 beta=90.00 gamma=90.00
Sites, in units of the cell vectors:
Th1 0.0000 0.0000 0.5000
Ho1 0.5000 0.0000 0.2510
Ho2 0.5000 0.5000 0.5000
Ho3 0.5000 0.0000 0.7490
Ho4 0.0000 0.5000 0.7490
Tm1 0.0000 0.0000 0.0000
Ho5 0.5000 0.5000 0.0000
Ho6 0.0000 0.5000 0.2510

Total magnetization   0.0 μB/cell
SG   No. 123
Calculated density   9.3 Mg/m³
DOS(E_F)   1.55 states/eV per atom



Arrangement x

Ho6TmTh: optimized geometry, PBE.

Unit cell a=6.6384 b=6.5303 c=6.7134 alpha=95.32 beta=60.48 gamma=92.79
Sites, in units of the cell vectors:
Ho1 0.4407 0.2399 0.4685
Ho2 0.0587 0.7473 0.5172
Ho3 0.4733 0.2478 0.9680
Ho4 0.5593 0.7601 0.5315
Ho5 0.5267 0.7522 0.0320
Th1 0.0000 0.5000 0.0000
Tm1 0.0000 0.0000 0.0000
Ho6 0.9413 0.2527 0.4828

Total magnetization   0.0 μB/cell
SG   No. 2
Calculated density   9.2 Mg/m³
DOS(E_F)   1.84 states/eV per atom



Relative energies in meV/atom: arrangement w 0; arrangement x 187



Arrangement w

Ho7Tm12Th: optimized geometry, PBE.

Unit cell a=8.6028 b=8.6028 c=8.6028 alpha=88.99 beta=88.99 gamma=88.99
Sites, in units of the cell vectors:
Ho1 0.0470 0.1554 0.3806
Tm1 0.1453 0.5020 0.6194
Tm2 0.6194 0.1453 0.5020
Tm3 0.7158 0.2579 0.1365
Tm4 0.2842 0.7421 0.8635
Tm5 0.3806 0.8547 0.4980
Tm6 0.2579 0.1365 0.7158
Ho2 0.6194 0.9530 0.8446
Th1 0.0000 0.0000 0.0000
Tm7 0.4980 0.3806 0.8547
Ho3 0.5000 0.5000 0.5000
Tm8 0.8635 0.2842 0.7421
Ho4 0.3806 0.0470 0.1554
Ho5 0.8446 0.6194 0.9530
Ho6 0.9530 0.8446 0.6194
Tm9 0.1365 0.7158 0.2579
Tm10 0.8547 0.4980 0.3806
Tm11 0.5020 0.6194 0.1453
Ho7 0.1554 0.3806 0.0470
Tm12 0.7421 0.8635 0.2842

Total magnetization   0.0 μB/cell
SG   No. 148
Calculated density   8.9 Mg/m³
DOS(E_F)   2.08 states/eV per atom



Arrangement x

Ho7Tm12Th: optimized geometry, PBE.

Unit cell a=9.6356 b=9.6356 c=9.6356 alpha=109.47 beta=109.47 gamma=109.47
Sites, in units of the cell vectors:
Ho1 0.0000 0.5000 0.5000
Tm1 0.7532 0.2474 0.0006
Ho2 0.5000 0.0000 0.0000
Tm2 0.5058 0.7532 0.7526
Tm3 0.2468 0.7526 0.9994
Ho3 0.0000 0.5000 0.0000
Tm4 0.7526 0.9994 0.2468
Th1 0.0000 0.0000 0.0000
Tm5 0.2474 0.0006 0.7532
Tm6 0.7526 0.5058 0.7532
Tm7 0.2474 0.4942 0.2468
Tm8 0.9994 0.2468 0.7526
Ho4 0.0000 0.0000 0.5000
Ho5 0.5000 0.5000 0.5000
Tm9 0.4942 0.2468 0.2474
Ho6 0.5000 0.0000 0.5000
Tm10 0.7532 0.7526 0.5058
Tm11 0.0006 0.7532 0.2474
Tm12 0.2468 0.2474 0.4942
Ho7 0.5000 0.5000 0.0000

Total magnetization   0.0 μB/cell
SG   No. 229
Calculated density   8.2 Mg/m³
DOS(E_F)   1.43 states/eV per atom



Relative energies in meV/atom: arrangement w 0; arrangement x 539



Arrangement w

HoTmTh3: optimized geometry, PBE.

Unit cell a=3.4482 b=11.6116 c=11.6682 alpha=43.20 beta=90.00 gamma=90.00
Sites, in units of the cell vectors:
Th1 0.7500 0.8745 0.4809
Ho1 0.7500 0.3073 0.1425
Tm1 0.7500 0.3007 0.6413
Th2 0.2500 0.4637 0.7730
Th3 0.7500 0.5363 0.2270
Th4 0.2500 0.1255 0.5191
Tm2 0.2500 0.6993 0.3587
Ho2 0.2500 0.6927 0.8575
Th5 0.7500 0.0861 0.0559
Th6 0.2500 0.9139 0.9441

Total magnetization   0.0 μB/cell
SG   No. 11
Calculated density   10.7 Mg/m³
DOS(E_F)   1.69 states/eV per atom



Arrangement x

HoTmTh3: optimized geometry, PBE.

Unit cell a=9.1556 b=9.1740 c=7.8653 alpha=90.00 beta=90.00 gamma=90.00
Sites, in units of the cell vectors:
Th1 0.8432 0.8364 0.2500
Tm1 0.6648 0.3432 0.2500
Th2 0.1350 0.8650 0.9957
Th3 0.1568 0.1636 0.7500
Th4 0.3650 0.3650 0.4957
Th5 0.1350 0.8650 0.5043
Ho1 0.5000 0.0000 0.5000
Ho2 0.5000 0.0000 0.0000
Th6 0.3650 0.3650 0.0043
Ho3 0.0000 0.5000 0.5000
Th7 0.6350 0.6350 0.9957
Th8 0.6568 0.3364 0.7500
Tm2 0.3352 0.6568 0.7500
Th9 0.6350 0.6350 0.5043
Th10 0.8650 0.1350 0.0043
Th11 0.8650 0.1350 0.4957
Ho4 0.0000 0.5000 0.0000
Tm3 0.8352 0.8432 0.7500
Tm4 0.1648 0.1568 0.2500
Th12 0.3432 0.6636 0.2500

Total magnetization   0.0 μB/cell
SG   No. 62
Calculated density   10.4 Mg/m³
DOS(E_F)   1.37 states/eV per atom



Relative energies in meV/atom: arrangement w 0; arrangement x 104



Arrangement w

Ho5Tm2Th: optimized geometry, PBE.

Unit cell a=7.0322 b=14.4491 c=9.8990 alpha=90.00 beta=90.00 gamma=148.40
Sites, in units of the cell vectors:
Ho1 0.4878 0.2773 0.2500
Ho2 0.5122 0.7227 0.7500
Tm1 0.8534 0.6328 0.4076
Ho3 0.6333 0.3645 0.9079
Tm2 0.8534 0.6328 0.0924
Ho4 0.7450 0.9987 0.4776
Tm3 0.1466 0.3672 0.5924
Ho5 0.2550 0.0013 0.9776
Tm4 0.1466 0.3672 0.9076
Ho6 0.3667 0.6355 0.0921
Th1 0.0054 0.2869 0.2500
Ho7 0.3667 0.6355 0.4079
Ho8 0.6333 0.3645 0.5921
Ho9 0.7450 0.9987 0.0224
Ho10 0.2550 0.0013 0.5224
Th2 0.9946 0.7131 0.7500

Total magnetization   0.0 μB/cell
SG   No. 11
Calculated density   8.8 Mg/m³
DOS(E_F)   1.43 states/eV per atom



Arrangement x

Ho5Tm2Th: optimized geometry, PBE.

Unit cell a=4.9783 b=7.0504 c=14.1259 alpha=90.00 beta=90.00 gamma=90.00
Sites, in units of the cell vectors:
Ho1 0.0000 0.5000 0.5000
Tm1 0.5000 0.7562 0.3765
Ho2 0.0000 0.0000 0.0000
Th1 0.0000 0.5000 0.0000
Ho3 0.0000 0.0030 0.2508
Tm2 0.5000 0.2562 0.1235
Ho4 0.0000 0.5030 0.2492
Tm3 0.5000 0.7438 0.8765
Th2 0.0000 0.0000 0.5000
Tm4 0.5000 0.2438 0.6235
Ho5 0.0000 0.4970 0.7508
Ho6 0.5000 0.2526 0.8763
Ho7 0.5000 0.7474 0.1237
Ho8 0.5000 0.7526 0.6237
Ho9 0.0000 0.9970 0.7492
Ho10 0.5000 0.2474 0.3763

Total magnetization   0.0 μB/cell
SG   No. 55
Calculated density   9.3 Mg/m³
DOS(E_F)   1.47 states/eV per atom



Relative energies in meV/atom: arrangement w 240; arrangement x 0



Arrangement w

Ho5Tm4Th: optimized geometry, PBE.

Unit cell a=5.3394 b=10.3785 c=6.3738 alpha=82.98 beta=114.76 gamma=90.00
Sites, in units of the cell vectors:
Ho1 0.8204 0.9489 0.6408
Ho2 0.5000 0.5000 0.0000
Tm1 0.9424 0.2705 0.8849
Ho3 0.1796 0.0511 0.3592
Ho4 0.2324 0.3965 0.4647
Ho5 0.7676 0.6035 0.5353
Tm2 0.6559 0.2381 0.3118
Tm3 0.3441 0.7619 0.6882
Th1 0.5000 0.0000 0.0000
Tm4 0.0576 0.7295 0.1151

Total magnetization   0.0 μB/cell
SG   No. 12
Calculated density   9.1 Mg/m³
DOS(E_F)   1.55 states/eV per atom



Arrangement x

Ho5Tm4Th: optimized geometry, PBE.

Unit cell a=6.3258 b=7.7915 c=7.7915 alpha=80.51 beta=66.05 gamma=66.05
Sites, in units of the cell vectors:
Th1 0.2249 0.0000 0.0000
Ho1 0.7144 0.0930 0.3777
Ho2 0.1851 0.9070 0.6223
Ho3 0.8074 0.3777 0.9070
Ho4 0.6908 0.0000 0.0000
Tm1 0.7962 0.7047 0.6009
Tm2 0.3970 0.3991 0.7047
Tm3 0.1017 0.2953 0.3991
Tm4 0.5008 0.6009 0.2953
Ho5 0.0921 0.6223 0.0930

Total magnetization   0.0 μB/cell
SG   No. 79
Calculated density   9.0 Mg/m³
DOS(E_F)   1.34 states/eV per atom



Relative energies in meV/atom: arrangement w 0; arrangement x 151



Arrangement w

Ho2Tm3Th3: optimized geometry, PBE.

Unit cell a=4.9885 b=4.9830 c=10.6615 alpha=103.51 beta=103.53 gamma=90.00
Sites, in units of the cell vectors:
Tm1 0.0000 0.5000 0.0000
Ho1 0.2501 0.7501 0.5003
Tm2 0.1247 0.1247 0.2494
Th1 0.3761 0.3761 0.7523
Ho2 0.7499 0.2499 0.4997
Th2 0.6239 0.6239 0.2477
Th3 0.5000 0.0000 0.0000
Tm3 0.8753 0.8753 0.7506

Total magnetization   0.0 μB/cell
SG   No. 71
Calculated density   10.2 Mg/m³
DOS(E_F)   1.30 states/eV per atom



Arrangement x

Ho2Tm3Th3: optimized geometry, PBE.

Unit cell a=8.3566 b=8.3566 c=8.3566 alpha=138.44 beta=138.85 gamma=59.92
Sites, in units of the cell vectors:
Ho1 0.2543 0.2543 0.0000
Ho2 0.7457 0.7457 0.0000
Tm1 0.0000 0.0000 0.0000
Th1 0.1151 0.6151 0.5000
Tm2 0.6272 0.1272 0.5000
Th2 0.5000 0.5000 0.0000
Tm3 0.3728 0.8728 0.5000
Th3 0.8849 0.3849 0.5000

Total magnetization   0.0 μB/cell
SG   No. 71
Calculated density   10.1 Mg/m³
DOS(E_F)   1.76 states/eV per atom



Relative energies in meV/atom: arrangement w 0; arrangement x 107